DFT (PBE) results for a relaxed structure of NbNiHgOs2.

```
5
Lattice="4.886 0.000 0.000 0.000 4.964 0.000 0.000 0.000 4.886" Properties=species:S:1:pos:R:3 pbc="T T T"
Hg 0.000 0.000 0.000
Ni 2.443 2.482 2.443
Nb 0.000 2.482 0.000
Os 0.000 0.000 2.443
Os 2.443 0.000 0.000
```

Summary:
**Formation energy from the elements**: 15.0 eV per formula unit
**Space group**: P4/mmm
**Final energy**: -23.7 eV for the cell shown
**Fermi-level density of states**: 0.963 states/eV per atom